Here is Ca2AgSe after structural relaxation from Alexandria. Energies are from PBE.

Geometry as POSCAR:
```
Ca2AgSe
1.0
7.8135 0.0000 0.0000
0.0000 7.8135 0.0000
3.9067 3.9067 4.0154
Ca Se Ag
4 2 2
direct
0.6037 0.1250 0.2500
0.1463 0.6250 0.2500
0.3750 0.3963 0.7500
0.8750 0.8537 0.7500
0.5000 0.5000 0.0000
0.2500 0.7500 0.5000
0.0000 0.0000 0.0000
0.7500 0.2500 0.5000
```

Output
Energy above the most stable polymorph in this dataset ... 0.209 eV per atom
DOS at the Fermi energy ... 5.50 states/eV/cell
Size of the total moment ... 0.000 μB/cell
DFT total energy ... -13.510 eV per formula unit
Energy relative to the elements, uncorrected ... -0.793 eV per atom